1.
# AcGe3Au2

Crystalline AcGe3Au2 at its relaxed geometry (PBE, the Alexandria database).

Geometry as POSCAR:
```
AcGe3Au2
1.0
3.930 -5.033 0.000
3.930 5.033 0.000
0.000 0.000 7.123
Ac Ge Au
2 6 4
direct
0.180 0.820 0.750
0.820 0.180 0.250
0.022 0.294 0.750
0.294 0.022 0.250
0.368 0.632 0.250
0.632 0.368 0.750
0.706 0.978 0.750
0.978 0.706 0.250
0.311 0.311 0.000
0.311 0.311 0.500
0.689 0.689 0.000
0.689 0.689 0.500
```

Summary:
space group = No. 63
spin magnetization = 0.000 μB/atom
D(E_F) = 2.68 states/eV/cell
energy relative to the elements = -0.395 eV/atom
energy above the most stable polymorph in this dataset = 38 meV per atom

2.
# Ac5Ge3Au12

Crystalline Ac5Ge3Au12 at its relaxed geometry (PBE, the Alexandria database).

Geometry as POSCAR:
```
Ac5Ge3Au12
1.0
-8.473 8.473 8.473
8.473 -8.473 8.473
8.473 8.473 -8.473
Ac Ge Au
20 12 48
direct
0.000 0.000 0.000
0.000 0.000 0.500
0.000 0.500 0.000
0.000 0.500 0.500
0.125 0.750 0.875
0.125 0.875 0.250
0.250 0.125 0.875
0.250 0.625 0.375
0.375 0.250 0.625
0.375 0.625 0.750
0.500 0.000 0.000
0.500 0.000 0.500
0.500 0.500 0.000
0.500 0.500 0.500
0.625 0.375 0.250
0.625 0.750 0.375
0.750 0.375 0.625
0.750 0.875 0.125
0.875 0.125 0.750
0.875 0.250 0.125
0.125 0.250 0.375
0.125 0.375 0.750
0.250 0.375 0.125
0.250 0.875 0.625
0.375 0.125 0.250
0.375 0.750 0.125
0.625 0.250 0.875
0.625 0.875 0.750
0.750 0.125 0.375
0.750 0.625 0.875
0.875 0.625 0.250
0.875 0.750 0.625
0.052 0.638 0.387
0.052 0.914 0.665
0.086 0.251 0.138
0.086 0.335 0.948
0.113 0.751 0.665
0.113 0.862 0.448
0.138 0.086 0.251
0.138 0.552 0.887
0.165 0.251 0.613
0.165 0.414 0.552
0.249 0.335 0.887
0.249 0.414 0.362
0.251 0.138 0.086
0.251 0.613 0.165
0.335 0.887 0.249
0.335 0.948 0.086
0.362 0.249 0.414
0.362 0.613 0.948
0.387 0.052 0.638
0.387 0.835 0.749
0.414 0.362 0.249
0.414 0.552 0.165
0.448 0.113 0.862
0.448 0.835 0.586
0.552 0.165 0.414
0.552 0.887 0.138
0.586 0.448 0.835
0.586 0.638 0.751
0.613 0.165 0.251
0.613 0.948 0.362
0.638 0.387 0.052
0.638 0.751 0.586
0.665 0.052 0.914
0.665 0.113 0.751
0.749 0.387 0.835
0.749 0.862 0.914
0.751 0.586 0.638
0.751 0.665 0.113
0.835 0.586 0.448
0.835 0.749 0.387
0.862 0.448 0.113
0.862 0.914 0.749
0.887 0.138 0.552
0.887 0.249 0.335
0.914 0.665 0.052
0.914 0.749 0.862
0.948 0.086 0.335
0.948 0.362 0.613
```

Summary:
space group = No. 230
spin magnetization = 0.000 μB/atom
D(E_F) = 51.58 states/eV/cell
energy relative to the elements = -0.203 eV/atom

3.
# AcGeAu6

Crystalline AcGeAu6 at its relaxed geometry (PBE, the Alexandria database).

Geometry as POSCAR:
```
AcGeAu6
1.0
3.469 2.003 4.397
-3.469 2.003 4.397
0.000 -4.006 4.397
Ac Ge Au
1 1 6
direct
0.000 0.000 0.000
0.500 0.500 0.500
0.033 0.636 0.636
0.364 0.364 0.967
0.364 0.967 0.364
0.636 0.033 0.636
0.636 0.636 0.033
0.967 0.364 0.364
```

Summary:
space group = No. 166
spin magnetization = 0.000 μB/atom
D(E_F) = 2.08 states/eV/cell
energy relative to the elements = -0.314 eV/atom

What did the third record say?
# AcGeAu6

Crystalline AcGeAu6 at its relaxed geometry (PBE, the Alexandria database).

Geometry as POSCAR:
```
AcGeAu6
1.0
3.469 2.003 4.397
-3.469 2.003 4.397
0.000 -4.006 4.397
Ac Ge Au
1 1 6
direct
0.000 0.000 0.000
0.500 0.500 0.500
0.033 0.636 0.636
0.364 0.364 0.967
0.364 0.967 0.364
0.636 0.033 0.636
0.636 0.636 0.033
0.967 0.364 0.364
```

Summary:
space group = No. 166
spin magnetization = 0.000 μB/atom
D(E_F) = 2.08 states/eV/cell
energy relative to the elements = -0.314 eV/atom

energy relative to the elements of number 1 (AcGe3Au2)? -0.395 eV/atom